This record from the Alexandria database describes an optimized crystal structure of LiIr2W. The functional is GGA-PBEsol.

Cell and atoms, written as CIF:
```
data_LiIr2W
_cell_length_a 2.756
_cell_length_b 4.566
_cell_length_c 4.566
_cell_angle_alpha 103.10
_cell_angle_beta 90.00
_cell_angle_gamma 90.00
_symmetry_space_group_name_H-M 'P 1'
_symmetry_Int_Tables_number 1
_symmetry_space_group_name_Hall 'P 1'
loop_
_atom_site_label
_atom_site_type_symbol
_atom_site_fract_x
_atom_site_fract_y
_atom_site_fract_z
Ir1 Ir 0.000 0.500 0.000
Ir2 Ir 0.000 0.000 0.500
Li1 Li 0.500 0.000 0.000
W1 W 0.500 0.500 0.500
```

Calculated values
Its total magnetic moment is 0.00 μB per cell. For the formation energy, the calculation gives -66 meV per atom.